# 1
CaIn | PBE | relaxed

Formation energy from the elements = -0.7 eV/f.u.
Calculated density = 4.162 g cm⁻³

a b c (Å): 7.2280 7.2280 6.5904
angles (deg): 63.03 63.03 37.84
Fractional coordinates of all 6 atoms:
Ca 0.9954 0.9954 0.9361
Ca 0.3052 0.3052 0.3955
Ca 0.6153 0.6153 0.3159
In 0.6794 0.6794 0.7720
In 0.9318 0.9318 0.5188
In 0.3056 0.3056 0.8950

---

# 2
PmTm2Sc3 | PBE | relaxed

Formation energy from the elements = 0.4 eV/f.u.
Calculated density = 6.123 g cm⁻³

a b c (Å): 3.4351 5.9394 16.5408
angles (deg): 96.86 90.00 90.00
Fractional coordinates of all 12 atoms:
Pm 0.2500 0.5283 0.8322
Pm 0.7500 0.4717 0.1678
Tm 0.2500 0.7502 0.5001
Tm 0.7500 0.2498 0.4999
Tm 0.7500 0.0263 0.8328
Tm 0.2500 0.9737 0.1672
Sc 0.7500 0.6394 0.6647
Sc 0.2500 0.3606 0.3353
Sc 0.7500 0.8626 0.3341
Sc 0.2500 0.1374 0.6659
Sc 0.2500 0.2467 0.9989
Sc 0.7500 0.7533 0.0011

---

# 3
Na2Tl3SnBr6 | PBE | relaxed

Calculated density = 5.268 g cm⁻³
E_form (uncorrected) = -0.93 eV per atom

a b c (Å): 7.4055 7.4055 8.7415
angles (deg): 98.23 98.23 120.33
Fractional coordinates of all 12 atoms:
Na 0.3334 0.6666 0.0000
Na 0.6666 0.3334 0.0000
Tl 0.1666 0.8334 0.5000
Tl 0.8334 0.1666 0.5000
Tl 0.5000 0.5000 0.5000
Sn 0.0000 0.0000 0.0000
Br 0.9300 0.5963 0.7907
Br 0.7365 0.7365 0.2077
Br 0.0700 0.4037 0.2093
Br 0.5963 0.9300 0.7907
Br 0.2635 0.2635 0.7923
Br 0.4037 0.0700 0.2093

---

# 4
DySi2Ni8 | PBE | relaxed

Calculated density = 7.347 g cm⁻³
E_form (uncorrected) = 0.01 eV per atom

a b c (Å): 5.5972 5.5972 4.9651
angles (deg): 90.00 90.00 90.00
Fractional coordinates of all 11 atoms:
Dy 0.5000 0.5000 0.5000
Si 0.5000 0.0000 0.0000
Si 0.0000 0.5000 0.0000
Ni 0.7889 0.7889 0.2484
Ni 0.7889 0.2111 0.7516
Ni 0.7889 0.7889 0.7516
Ni 0.7889 0.2111 0.2484
Ni 0.2111 0.7889 0.2484
Ni 0.2111 0.7889 0.7516
Ni 0.2111 0.2111 0.2484
Ni 0.2111 0.2111 0.7516

---

# 5
BeSb2Rh | PBE | relaxed

Calculated density = 7.897 g cm⁻³
E_form (uncorrected) = 0.35 eV per atom

a b c (Å): 5.3861 5.3861 5.3861
angles (deg): 135.86 135.86 64.19
Fractional coordinates of all 4 atoms:
Sb 0.0000 0.0000 0.0000
Sb 0.2500 0.7500 0.5000
Rh 0.7500 0.2500 0.5000
Be 0.5000 0.5000 0.0000

---

# 6
Tb2Si3AgPt4 | PBE | relaxed

Calculated density = 11.758 g cm⁻³
E_form (uncorrected) = -0.92 eV per atom

a b c (Å): 4.1774 4.1774 10.4421
angles (deg): 90.00 90.00 90.00
Fractional coordinates of all 10 atoms:
Tb 0.5000 0.0000 0.2504
Tb 0.0000 0.5000 0.7496
Si 0.0000 0.0000 0.5000
Si 0.5000 0.0000 0.8737
Si 0.0000 0.5000 0.1263
Ag 0.5000 0.5000 0.5000
Pt 0.5000 0.5000 0.0000
Pt 0.0000 0.0000 0.0000
Pt 0.5000 0.0000 0.6530
Pt 0.0000 0.5000 0.3470

---

# 7
PmThCu2 | PBE | relaxed

Formation energy from the elements = 0.4 eV/f.u.
Calculated density = 8.374 g cm⁻³
E above lowest polymorph = 0.229 eV/atom

a b c (Å): 3.8218 3.8218 8.2049
angles (deg): 76.53 76.53 60.00
Fractional coordinates of all 4 atoms:
Cu 0.7515 0.7515 0.7456
Cu 0.2485 0.2485 0.2544
Th 0.5000 0.5000 0.5000
Pm 0.0000 0.0000 0.0000

---

# 8
Er3Ta5N12 | PBE | relaxed

Calculated density = 9.765 g cm⁻³
E_form (uncorrected) = -1.10 eV per atom

a b c (Å): 11.1636 11.1636 11.1636
angles (deg): 109.47 109.47 109.47
Fractional coordinates of all 80 atoms:
Er 0.7500 0.3750 0.1250
Er 0.8750 0.7500 0.1250
Er 0.3750 0.7500 0.6250
Er 0.2500 0.1250 0.3750
Er 0.8750 0.1250 0.2500
Er 0.3750 0.6250 0.2500
Er 0.6250 0.3750 0.7500
Er 0.1250 0.8750 0.7500
Er 0.7500 0.8750 0.6250
Er 0.6250 0.2500 0.3750
Er 0.1250 0.2500 0.8750
Er 0.2500 0.6250 0.8750
Ta 0.1250 0.3750 0.2500
Ta 0.0000 0.5000 0.0000
Ta 0.0000 0.0000 0.0000
Ta 0.3750 0.2500 0.1250
Ta 0.5000 0.0000 0.5000
Ta 0.5000 0.5000 0.0000
Ta 0.1250 0.7500 0.3750
Ta 0.7500 0.1250 0.8750
Ta 0.7500 0.6250 0.3750
Ta 0.3750 0.1250 0.7500
Ta 0.6250 0.8750 0.2500
Ta 0.5000 0.5000 0.5000
Ta 0.5000 0.0000 0.0000
Ta 0.0000 0.0000 0.5000
Ta 0.2500 0.3750 0.6250
Ta 0.2500 0.8750 0.1250
Ta 0.0000 0.5000 0.5000
Ta 0.8750 0.2500 0.6250
Ta 0.6250 0.7500 0.8750
Ta 0.8750 0.6250 0.7500
N 0.7061 0.1207 0.0279
N 0.3218 0.5279 0.4072
N 0.9721 0.3793 0.2939
N 0.5279 0.2061 0.1207
N 0.5854 0.7061 0.6782
N 0.9721 0.5928 0.1782
N 0.3218 0.7939 0.4146
N 0.0928 0.9146 0.1207
N 0.5928 0.9721 0.6782
N 0.7061 0.5854 0.1782
N 0.7939 0.4721 0.3793
N 0.8218 0.9072 0.0279
N 0.1207 0.7061 0.5279
N 0.3793 0.4072 0.0854
N 0.0854 0.9072 0.3793
N 0.4146 0.1207 0.5928
N 0.0854 0.1782 0.2061
N 0.4721 0.6782 0.0928
N 0.8218 0.9146 0.2939
N 0.1207 0.4146 0.0928
N 0.3793 0.9721 0.7939
N 0.5928 0.6207 0.4146
N 0.9072 0.8218 0.5279
N 0.7939 0.3218 0.9146
N 0.4072 0.3793 0.5854
N 0.0928 0.1782 0.4721
N 0.2061 0.6782 0.0854
N 0.1782 0.0854 0.7061
N 0.6207 0.0279 0.2061
N 0.8793 0.5854 0.9072
N 0.5279 0.3218 0.9072
N 0.5854 0.8793 0.4072
N 0.9146 0.8218 0.7939
N 0.9146 0.0928 0.6207
N 0.8793 0.2939 0.4721
N 0.1782 0.0928 0.9721
N 0.6207 0.5928 0.9146
N 0.4072 0.0279 0.3218
N 0.2939 0.4146 0.8218
N 0.2061 0.5279 0.6207
N 0.9072 0.0854 0.8793
N 0.6782 0.2061 0.5854
N 0.4721 0.7939 0.8793
N 0.0279 0.4072 0.8218
N 0.4146 0.2939 0.3218
N 0.0279 0.6207 0.7061
N 0.6782 0.4721 0.5928
N 0.2939 0.8793 0.9721

---

# 9
Ca2TlRh | PBE | relaxed

Formation energy from the elements = -0.8 eV/f.u.
Calculated density = 6.792 g cm⁻³
E above lowest polymorph = 0.163 eV/atom

a b c (Å): 5.6209 5.6209 5.6209
angles (deg): 132.49 132.49 69.45
Fractional coordinates of all 4 atoms:
Tl 0.7500 0.2500 0.5000
Rh 0.5000 0.5000 0.0000
Ca 0.0000 0.0000 0.0000
Ca 0.2500 0.7500 0.5000

---

# 10
Ca2TlPb | PBE | relaxed

Formation energy from the elements = -1.6 eV/f.u.
Calculated density = 6.658 g cm⁻³
E above lowest polymorph = 0.099 eV/atom

a b c (Å): 6.5251 6.5258 5.7129
angles (deg): 71.97 71.97 32.18
Fractional coordinates of all 4 atoms:
Pb 0.5148 0.5147 0.5650
Tl 0.2360 0.2361 0.1814
Ca 0.9869 0.9869 0.0793
Ca 0.7623 0.7623 0.6743

---

# 11
CdAg2Te | PBE | relaxed

Calculated density = 7.478 g cm⁻³
E above lowest polymorph = 0.029 eV/atom
E_form (uncorrected) = 0.03 eV per atom

a b c (Å): 4.8849 4.8849 7.2382
angles (deg): 103.84 103.84 37.27
Fractional coordinates of all 4 atoms:
Te 0.3487 0.3487 0.1813
Ag 0.0363 0.0363 0.9643
Ag 0.7118 0.7118 0.7590
Cd 0.4032 0.4032 0.5954

---

# 12
MgSc2Fe | PBE | relaxed

Formation energy from the elements = 0.4 eV/f.u.
Calculated density = 3.539 g cm⁻³

a b c (Å): 3.2490 3.2490 7.5599
angles (deg): 90.00 90.00 90.00
Last column: magnetic moment on the atom in μB.
Fractional coordinates of all 4 atoms:
Fe 0.0000 0.0000 0.4974  2.16
Mg 0.5000 0.5000 0.7034  -0.03
Sc 0.0000 0.0000 0.9942  0.34
Sc 0.5000 0.5000 0.3050  -0.18

---

# 13
CdGeAu4 | PBE | relaxed

Formation energy from the elements = -0.3 eV/f.u.
Calculated density = 13.965 g cm⁻³
E above lowest polymorph = 0.008 eV/atom

a b c (Å): 4.9661 5.8632 8.5217
angles (deg): 90.00 111.18 90.00
Fractional coordinates of all 12 atoms:
Cd 0.3300 0.2500 0.1328
Cd 0.6700 0.7500 0.8672
Ge 0.3673 0.2500 0.5795
Ge 0.6327 0.7500 0.4205
Au 0.7923 0.2500 0.4787
Au 0.2077 0.7500 0.5213
Au 0.7045 0.2500 0.8979
Au 0.2955 0.7500 0.1021
Au 0.8765 0.9970 0.2084
Au 0.1235 0.4970 0.7916
Au 0.8765 0.5030 0.2084
Au 0.1235 0.0030 0.7916

---

# 14
As2OF | PBE | relaxed

Calculated density = 5.811 g cm⁻³
E above lowest polymorph = 0.590 eV/atom
E_form (uncorrected) = 0.00 eV per atom

a b c (Å): 4.2114 4.2114 4.2114
angles (deg): 60.00 60.00 60.00
Fractional coordinates of all 4 atoms:
As 0.2500 0.2500 0.2500
As 0.7500 0.7500 0.7500
O 0.0000 0.0000 0.0000
F 0.5000 0.5000 0.5000

---

# 15
LaScC3 | PBE | relaxed

Formation energy from the elements = 5.2 eV/f.u.
Calculated density = 4.757 g cm⁻³
E above lowest polymorph = 0.000 eV/atom

a b c (Å): 4.2498 4.2498 4.2498
angles (deg): 90.00 90.00 90.00
Fractional coordinates of all 5 atoms:
Sc 0.0000 0.0000 0.0000
C 0.0000 0.5000 0.0000
C 0.0000 0.0000 0.5000
C 0.5000 0.0000 0.0000
La 0.5000 0.5000 0.5000

---

# 16
DyBi2RuO8 | PBE | relaxed

Calculated density = 7.604 g cm⁻³
E_form (uncorrected) = -1.46 eV per atom

a b c (Å): 5.0955 5.1291 6.7645
angles (deg): 90.00 90.00 89.23
Last column: magnetic moment on the atom in μB.
Fractional coordinates of all 12 atoms:
Dy 0.0000 0.0000 0.5000  0.00
Bi 0.5000 0.5000 0.7531  0.00
Bi 0.5000 0.5000 0.2469  0.00
Ru 0.0000 0.0000 0.0000  0.12
O 0.1672 0.8019 0.2223  0.00
O 0.7221 0.7711 0.0000  0.01
O 0.8328 0.1981 0.2223  0.00
O 0.8328 0.1981 0.7777  0.00
O 0.2779 0.2289 0.0000  0.01
O 0.1672 0.8019 0.7777  0.00
O 0.6761 0.7009 0.5000  0.00
O 0.3239 0.2991 0.5000  0.00

---

# 17
Na2Al5Zn12 | PBE | relaxed

Formation energy from the elements = -0.1 eV/f.u.
Calculated density = 4.929 g cm⁻³

a b c (Å): 6.9190 6.9190 6.9190
angles (deg): 83.56 83.56 83.56
Fractional coordinates of all 19 atoms:
Na 0.6541 0.6541 0.6541
Na 0.3459 0.3459 0.3459
Al 0.0000 0.0000 0.5000
Al 0.0000 0.5000 0.0000
Al 0.5000 0.0000 0.0000
Al 0.9009 0.9009 0.9009
Al 0.0991 0.0991 0.0991
Zn 0.3096 0.6904 0.0000
Zn 0.6904 0.0000 0.3096
Zn 0.0000 0.3096 0.6904
Zn 0.6904 0.3096 0.0000
Zn 0.3096 0.0000 0.6904
Zn 0.0000 0.6904 0.3096
Zn 0.3467 0.3467 0.8370
Zn 0.3467 0.8370 0.3467
Zn 0.8370 0.3467 0.3467
Zn 0.6533 0.1630 0.6533
Zn 0.6533 0.6533 0.1630
Zn 0.1630 0.6533 0.6533

---

# 18
MnPRu2 | PBE | relaxed

Formation energy from the elements = 1.7 eV/f.u.
Calculated density = 6.756 g cm⁻³
E above lowest polymorph = 0.658 eV/atom

a b c (Å): 5.2379 5.2379 6.3527
angles (deg): 65.65 65.65 90.00
Fractional coordinates of all 8 atoms:
Ru 0.6271 0.1250 0.2500
Ru 0.1229 0.6250 0.2500
Ru 0.3750 0.3729 0.7500
Ru 0.8750 0.8771 0.7500
Mn 0.0000 0.0000 0.0000
Mn 0.7500 0.2500 0.5000
P 0.5000 0.5000 0.0000
P 0.2500 0.7500 0.5000

---

# 19
Ca6BiSe4 | PBE | relaxed

Calculated density = 3.989 g cm⁻³
E_form (uncorrected) = -1.63 eV per atom

a b c (Å): 4.3143 7.2604 21.3055
angles (deg): 90.00 90.00 107.28
Last column: magnetic moment on the atom in μB.
Fractional coordinates of all 22 atoms:
Ca 0.5000 0.0000 0.0000  0.01
Ca 0.5000 0.0000 0.5000  0.01
Ca 0.0419 0.0838 0.3354  0.05
Ca 0.9581 0.9162 0.6646  0.05
Ca 0.9581 0.9162 0.8354  0.05
Ca 0.0419 0.0838 0.1646  0.05
Ca 0.7709 0.5419 0.4140  0.01
Ca 0.2291 0.4581 0.5860  0.01
Ca 0.2291 0.4581 0.9140  0.01
Ca 0.7709 0.5419 0.0860  0.01
Ca 0.3339 0.6678 0.2500  0.08
Ca 0.6661 0.3322 0.7500  0.08
Bi 0.6628 0.3256 0.2500  0.00
Bi 0.3372 0.6744 0.7500  0.00
Se 0.8624 0.7247 0.5424  0.00
Se 0.4068 0.8135 0.1226  0.01
Se 0.1376 0.2753 0.4576  0.00
Se 0.5932 0.1865 0.8774  0.01
Se 0.8624 0.7247 0.9576  0.00
Se 0.1376 0.2753 0.0424  0.00
Se 0.5932 0.1865 0.6226  0.01
Se 0.4068 0.8135 0.3774  0.01

---

# 20
CaTb2DyAu4 | PBE | relaxed

Formation energy from the elements = -6.8 eV/f.u.
Calculated density = 11.520 g cm⁻³

a b c (Å): 5.0974 5.0974 8.8824
angles (deg): 73.33 73.33 60.00
Fractional coordinates of all 8 atoms:
Ca 0.0000 0.0000 0.0000
Tb 0.7482 0.7482 0.7553
Tb 0.2518 0.2518 0.2447
Dy 0.5000 0.5000 0.5000
Au 0.3789 0.3789 0.8632
Au 0.8699 0.8699 0.3903
Au 0.1301 0.1301 0.6097
Au 0.6211 0.6211 0.1368